# Li3Hf3Ta2O12

A relaxed Li3Hf3Ta2O12 crystal (PBE, OQMD via LeMat-Bulk). Values from VASP.

Total energy: -8.7572 eV per atom
Total magnetic moment: 0.771 μB per formula unit

Cell and atoms, written as Quantum ESPRESSO input:
```
&SYSTEM
  ibrav = 0, nat = 80, ntyp = 4
/
ATOMIC_SPECIES
O 16.00 O.upf
Li 6.94 Li.upf
Ta 180.95 Ta.upf
Hf 178.49 Hf.upf
CELL_PARAMETERS angstrom
5.917 5.917 5.917
-5.917 5.917 -5.917
-5.917 -5.917 5.917
ATOMIC_POSITIONS angstrom
O -8.094 3.253 -1.131
O -6.211 5.136 -1.828
O -6.211 0.782 4.089
O -4.089 -0.294 5.136
O -3.253 1.131 8.094
O 0.782 4.089 5.623
O -1.131 8.094 2.665
O -5.623 5.136 4.089
O -3.740 -2.665 7.048
O -3.253 7.048 3.740
O -7.048 3.740 2.665
O -2.177 3.253 7.048
O -6.211 -0.782 1.828
O -0.782 4.089 -0.294
O -1.828 5.623 5.136
O 0.294 0.782 7.745
O -2.665 -1.131 2.177
O -4.787 -2.177 3.253
O -2.665 1.131 3.740
O -5.136 4.089 0.294
O -2.177 2.665 1.131
O -0.782 10.006 0.294
O -1.828 -0.294 6.699
O 0.294 5.136 1.828
O -0.782 1.828 5.623
O 2.177 2.665 7.048
O -1.131 2.177 9.170
O -3.740 3.253 4.787
O -4.787 2.177 2.665
O -4.089 6.211 -0.782
O -8.582 1.131 2.177
O -5.136 1.828 6.211
O -6.699 1.828 0.294
O 0.294 6.699 4.089
O -10.006 -0.294 0.782
O 1.131 2.177 3.253
O -1.828 6.211 0.782
O -2.665 4.787 -2.177
O -2.177 8.582 -1.131
O -3.740 2.665 -1.131
O -1.131 3.740 3.253
O -4.787 3.740 -3.253
O -0.294 0.782 1.828
O -5.136 -4.089 5.623
O 2.665 4.787 3.740
O -3.253 4.787 2.177
O -4.089 0.294 0.782
O 4.089 6.211 5.136
Li -4.438 5.917 2.959
Li -1.479 0.000 2.959
Li -2.959 -1.479 5.917
Li 1.479 5.917 2.959
Li 0.000 2.959 4.438
Li -5.917 -2.959 4.438
Li -2.959 7.397 0.000
Li -7.397 0.000 2.959
Li -2.959 4.438 5.917
Li -2.959 1.479 0.000
Li -5.917 2.959 1.479
Li 0.000 8.876 1.479
Ta 2.959 2.959 2.959
Ta -5.917 0.000 0.000
Ta 0.000 0.000 5.917
Ta -2.959 -2.959 2.959
Ta 0.000 0.000 0.000
Ta 0.000 5.917 0.000
Ta -2.959 2.959 2.959
Ta -2.959 2.959 -2.959
Hf -5.917 2.959 4.438
Hf 0.000 2.959 7.397
Hf 0.000 2.959 1.479
Hf -1.479 5.917 2.959
Hf -4.438 0.000 2.959
Hf -2.959 4.438 0.000
Hf -5.917 2.959 -1.479
Hf 2.959 4.438 5.917
Hf -8.876 1.479 0.000
Hf -1.479 0.000 8.876
Hf -2.959 1.479 5.917
Hf -4.438 5.917 -2.959
```


# Li4HfTcO6

A relaxed Li4HfTcO6 crystal (PBE, OQMD via LeMat-Bulk). Values from VASP.

Total energy: -7.0571 eV per atom
Total magnetic moment: 3.000 μB per formula unit

Cell and atoms, written as Quantum ESPRESSO input:
```
&SYSTEM
  ibrav = 0, nat = 12, ntyp = 4
/
ATOMIC_SPECIES
O 16.00 O.upf
Li 6.94 Li.upf
Hf 178.49 Hf.upf
Tc 98.00 Tc.upf
CELL_PARAMETERS angstrom
-2.599 -4.498 -0.009
-2.599 4.498 -0.009
1.747 0.000 -4.868
ATOMIC_POSITIONS angstrom
O -2.649 0.021 -3.713
O 0.016 -1.566 -3.713
O -3.512 1.535 -1.168
O -0.803 0.021 -1.173
O -3.468 -1.566 -1.173
O 0.060 1.535 -3.718
Li -1.726 1.371 -2.443
Li -1.726 -1.443 -2.443
Li -1.726 -4.403 -2.443
Li -2.599 -0.003 -0.009
Hf -2.599 2.993 -0.009
Tc -2.599 -2.993 -0.009
```